DFT (PBE-GGA) results for a geometry-optimized FeRe2Ru structure.

a = 3.827 Å, b = 3.827 Å, c = 7.547 Å
α = 90.00°, β = 90.00°, γ = 90.00°
Positions (direct):
Fe1 0.000 0.000 0.000
Fe2 0.500 0.500 0.500
Re1 0.000 0.000 0.500
Re2 0.000 0.500 0.750
Re3 0.500 0.000 0.250
Re4 0.500 0.500 0.000
Ru1 0.000 0.500 0.250
Ru2 0.500 0.000 0.750

Results
VASP energy (Ry per atom): -0.7779
Space-group type: I-4m2
Spin magnetization (μB per atom): 0.277